No. 1
# TlP2H5O8 SCAN single point on PBEsol structure
# M_tot = 0.0 μB per formula unit
# Theoretical density = 3578 kg/m³
# E_tot = -11.696 eV per atom
data_TlP2H5O8
_chemical_formula_sum 'Tl4 P8 H20 O32'
_space_group_name_H-M_alt 'C 1 2/c 1'
_space_group_IT_number 15
_space_group_name_Hall '-C 2yc'
_cell_length_a 10.251
_cell_length_b 7.731
_cell_length_c 9.520
_cell_angle_alpha 90.00
_cell_angle_beta 100.65
_cell_angle_gamma 90.00
loop_
_atom_site_label
_atom_site_type_symbol
_atom_site_fract_x
_atom_site_fract_y
_atom_site_fract_z
_atom_site_occupancy
Tl1 Tl 0.000 0.000 0.000 1
P1 P 0.184 0.440 0.190 1
H1 H 0.000 0.297 0.250 1
H2 H 0.163 0.464 0.469 1
H3 H 0.180 0.280 0.822 1
O1 O 0.081 0.292 0.174 1
O2 O 0.154 0.421 0.570 1
O3 O 0.178 0.142 0.820 1
O4 O 0.188 0.462 0.831 1

---

No. 2
# TlPH2O4 SCAN single point on PBEsol structure
# M_tot = 0.0 μB per formula unit
# Theoretical density = 4828 kg/m³
# Distance to the lowest polymorph of the same formula = 0.0000 eV per atom
data_TlPH2O4
_chemical_formula_sum 'Tl8 P8 H16 O32'
_space_group_name_H-M_alt 'P 1 21/c 1'
_space_group_IT_number 14
_space_group_name_Hall '-P 2ybc'
_cell_length_a 8.996
_cell_length_b 6.416
_cell_length_c 14.951
_cell_angle_alpha 90.00
_cell_angle_beta 106.10
_cell_angle_gamma 90.00
loop_
_atom_site_label
_atom_site_type_symbol
_atom_site_fract_x
_atom_site_fract_y
_atom_site_fract_z
_atom_site_occupancy
Tl1 Tl 0.059 0.239 0.124 1
Tl2 Tl 0.436 0.728 0.859 1
P1 P 0.170 0.240 0.372 1
P2 P 0.322 0.747 0.622 1
H1 H 0.095 0.737 0.689 1
H2 H 0.236 0.520 0.999 1
H3 H 0.263 0.506 0.503 1
H4 H 0.382 0.238 0.817 1
O1 O 0.009 0.189 0.302 1
O2 O 0.145 0.100 0.943 1
O3 O 0.221 0.570 0.067 1
O4 O 0.229 0.645 0.683 1
O5 O 0.246 0.037 0.417 1
O6 O 0.270 0.167 0.811 1
O7 O 0.357 0.589 0.551 1
O8 O 0.478 0.671 0.182 1

---

No. 3
# TlPH2O4 SCAN single point on PBEsol structure
# M_tot = 0.0 μB per formula unit
# Theoretical density = 4864 kg/m³
# Distance to the lowest polymorph of the same formula = 0.0101 eV per atom
data_TlPH2O4
_chemical_formula_sum 'Tl4 P4 H8 O16'
_space_group_name_H-M_alt 'P b c n'
_space_group_IT_number 60
_space_group_name_Hall '-P 2n 2ab'
_cell_length_a 4.463
_cell_length_b 14.417
_cell_length_c 6.395
_cell_angle_alpha 90.00
_cell_angle_beta 90.00
_cell_angle_gamma 90.00
loop_
_atom_site_label
_atom_site_type_symbol
_atom_site_fract_x
_atom_site_fract_y
_atom_site_fract_z
_atom_site_occupancy
Tl1 Tl 0.000 0.134 0.250 1
P1 P 0.000 0.374 0.250 1
H1 H 0.000 0.186 0.750 1
H2 H 0.000 0.500 0.000 1
O1 O 0.131 0.435 0.072 1
O2 O 0.243 0.189 0.832 1

---

No. 4
# TlPHO2 SCAN single point on PBEsol structure
# M_tot = 0.0 μB per formula unit
# Theoretical density = 8164 kg/m³
# Distance to the lowest polymorph of the same formula = 0.0000 eV per atom
data_TlPHO2
_chemical_formula_sum 'Tl1 P1 H1 O2'
_space_group_name_H-M_alt 'P 4/m m m'
_space_group_IT_number 123
_space_group_name_Hall '-P 4 2'
_cell_length_a 4.225
_cell_length_b 4.225
_cell_length_c 3.058
_cell_angle_alpha 90.00
_cell_angle_beta 90.00
_cell_angle_gamma 90.00
loop_
_atom_site_label
_atom_site_type_symbol
_atom_site_fract_x
_atom_site_fract_y
_atom_site_fract_z
_atom_site_occupancy
Tl1 Tl 0.000 0.000 0.000 1
P1 P 0.500 0.500 0.000 1
H1 H 0.500 0.500 0.500 1
O1 O 0.000 0.500 0.500 1

---

No. 5
# TlPHO2 SCAN single point on PBEsol structure
# M_tot = 2.4 μB per formula unit
# Theoretical density = 4755 kg/m³
# Distance to the lowest polymorph of the same formula = 0.6458 eV per atom
data_TlPHO2
_chemical_formula_sum 'Tl1 P1 H1 O2'
_space_group_name_H-M_alt 'P 4/m m m'
_space_group_IT_number 123
_space_group_name_Hall '-P 4 2'
_cell_length_a 4.080
_cell_length_b 4.080
_cell_length_c 5.629
_cell_angle_alpha 90.00
_cell_angle_beta 90.00
_cell_angle_gamma 90.00
loop_
_atom_site_label
_atom_site_type_symbol
_atom_site_fract_x
_atom_site_fract_y
_atom_site_fract_z
_atom_site_occupancy
Tl1 Tl 0.000 0.000 0.000 1
P1 P 0.000 0.000 0.500 1
H1 H 0.500 0.500 0.500 1
O1 O 0.000 0.500 0.000 1

---

No. 6
# VPH5O7 SCAN single point on PBEsol structure
# M_tot = 1.0 μB per formula unit
# Theoretical density = 2624 kg/m³
# E_tot = -8.102 eV per atom
data_VPH5O7
_chemical_formula_sum 'V4 P4 H20 O28'
_space_group_name_H-M_alt 'P 1 21/c 1'
_space_group_IT_number 14
_space_group_name_Hall '-P 2ybc'
_cell_length_a 7.490
_cell_length_b 7.210
_cell_length_c 9.422
_cell_angle_alpha 90.00
_cell_angle_beta 98.29
_cell_angle_gamma 90.00
loop_
_atom_site_label
_atom_site_type_symbol
_atom_site_fract_x
_atom_site_fract_y
_atom_site_fract_z
_atom_site_occupancy
V1 V 0.026 0.134 0.253 1
P1 P 0.225 0.655 0.001 1
H1 H 0.178 0.007 0.048 1
H2 H 0.338 0.017 0.184 1
H3 H 0.364 0.026 0.743 1
H4 H 0.489 0.730 0.590 1
H5 H 0.495 0.159 0.674 1
O1 O 0.059 0.146 0.789 1
O2 O 0.119 0.673 0.438 1
O3 O 0.182 0.019 0.411 1
O4 O 0.203 0.626 0.159 1
O5 O 0.224 0.081 0.137 1
O6 O 0.433 0.698 0.001 1
O7 O 0.477 0.102 0.767 1

---

Q: M_tot of number 4 (TlPHO2)?
A: 0.0 μB per formula unit

---

Q: Among the records above, which one has the highest theoretical density?
A: number 4

---

Q: theoretical density of number 2 (TlPH2O4)?
A: 4828 kg/m³